A relaxed Er2Sc3Zn2 crystal. Source: the Alexandria database, functional GGA-PBE.

Cell and atoms, written as POSCAR:
```
Er2Sc3Zn2
1.0
4.6030 0.0000 0.0000
-2.3015 5.3410 -0.3138
0.0000 -2.8422 6.9445
Sc Zn Er
3 2 2
direct
0.6357 0.2714 0.4563
0.5000 0.0000 0.0000
0.3643 0.7286 0.5437
0.8576 0.7152 0.8105
0.1424 0.2848 0.1895
0.1355 0.2710 0.7783
0.8645 0.7290 0.2217
```

Summary:
- Fermi-level density of states: 1.161 states/eV/atom
- SG: C2/m
- DFT formation energy: -0.127 eV/atom